[1]
Compound: SbAu2Cl6
Source: Alexandria
Functional: PBE-GGA
Structure: optimized geometry Values from VASP.

## Properties
Relative energy among the computed polymorphs in meV/atom: 0
Raw formation energy in eV per atom: -0.453
Uncorrected energy in eV per atom: -2.87
Theoretical density in Mg/m³: 3.92
DOS at the Fermi energy in states/eV/atom: 0.63

Cell and atoms, written as Quantum ESPRESSO input:
```
&SYSTEM
  ibrav = 0, nat = 18, ntyp = 3
/
ATOMIC_SPECIES
Sb 121.76 Sb.upf
Au 196.97 Au.upf
Cl 35.45 Cl.upf
CELL_PARAMETERS angstrom
-5.0035 -3.8372 0.5793
6.6886 -6.4238 3.5528
-1.0367 4.4448 8.8201
ATOMIC_POSITIONS angstrom
Sb 4.7643 -6.4357 4.1568
Sb -4.1159 0.6195 8.7954
Au 1.2092 -1.5198 4.8775
Au 1.9536 -2.3956 7.7764
Au -0.5609 -4.2964 8.0747
Au -1.3052 -3.4205 5.1759
Cl -0.9697 -1.1588 5.5999
Cl 2.2863 -0.1592 8.3128
Cl 1.6181 -4.6573 7.3523
Cl -1.6380 -5.6570 4.6395
Cl -4.4885 -0.8503 6.9515
Cl -2.0289 -0.3228 9.4704
Cl 5.1368 -4.9658 6.0007
Cl 2.6772 -5.4934 3.4819
Cl 0.5958 -1.3302 1.1448
Cl 3.5338 -3.9453 10.8500
Cl 0.0526 -4.4860 11.8075
Cl -2.8854 -1.8709 2.1022
```

***

[2]
Compound: SbAu2Cl
Source: Alexandria
Functional: PBE-GGA
Structure: optimized geometry Values from VASP.

## Properties
Relative energy among the computed polymorphs in meV/atom: 327
Raw formation energy in eV per atom: 0.220
Uncorrected energy in eV per atom: -2.91
Theoretical density in Mg/m³: 10.80
DOS at the Fermi energy in states/eV/atom: 0.45

Cell and atoms, written as Quantum ESPRESSO input:
```
&SYSTEM
  ibrav = 0, nat = 4, ntyp = 3
/
ATOMIC_SPECIES
Au 196.97 Au.upf
Cl 35.45 Cl.upf
Sb 121.76 Sb.upf
CELL_PARAMETERS angstrom
4.9305 0.0000 0.0000
2.4653 4.2700 0.0000
2.4653 1.4233 4.0258
ATOMIC_POSITIONS angstrom
Au 0.0000 0.0000 0.0000
Au 7.3958 4.2700 3.0193
Cl 4.9305 2.8466 2.0129
Sb 2.4653 1.4233 1.0064
```

***

[3]
Compound: SbAu3Cl
Source: Alexandria
Functional: PBE-GGA
Structure: optimized geometry Values from VASP.

## Properties
Relative energy among the computed polymorphs in meV/atom: 431
Raw formation energy in eV per atom: 0.842
Uncorrected energy in eV per atom: -2.32
Theoretical density in Mg/m³: 10.08
DOS at the Fermi energy in states/eV/atom: 0.77

Cell and atoms, written as Quantum ESPRESSO input:
```
&SYSTEM
  ibrav = 0, nat = 5, ntyp = 3
/
ATOMIC_SPECIES
Sb 121.76 Sb.upf
Au 196.97 Au.upf
Cl 35.45 Cl.upf
CELL_PARAMETERS angstrom
-3.0718 3.0103 2.5049
-3.1410 -3.7953 0.7091
2.3389 -1.1432 4.2421
ATOMIC_POSITIONS angstrom
Sb -1.9370 -0.9641 3.7280
Au -1.5705 -1.8976 0.3545
Au 1.1695 -0.5716 2.1210
Au -1.5359 1.5051 1.2525
Cl 0.0000 0.0000 0.0000
```

***

[4]
Compound: Sb2AuCl
Source: Alexandria
Functional: PBE-GGA
Structure: optimized geometry Values from VASP.

## Properties
Relative energy among the computed polymorphs in meV/atom: 293
Raw formation energy in eV per atom: 0.052
Uncorrected energy in eV per atom: -3.29
Theoretical density in Mg/m³: 8.16
DOS at the Fermi energy in states/eV/atom: 0.60

Cell and atoms, written as Quantum ESPRESSO input:
```
&SYSTEM
  ibrav = 0, nat = 4, ntyp = 3
/
ATOMIC_SPECIES
Au 196.97 Au.upf
Cl 35.45 Cl.upf
Sb 121.76 Sb.upf
CELL_PARAMETERS angstrom
3.4174 0.0000 0.0000
0.0000 6.0143 0.0001
0.0000 5.9860 4.7097
ATOMIC_POSITIONS angstrom
Au 1.7087 6.0001 2.3549
Cl 0.0000 2.9930 2.3548
Sb 0.0000 0.0000 0.0000
Sb 1.7087 3.0071 0.0001
```

***

[5]
Compound: Sb2AuCl
Source: Alexandria
Functional: PBE-GGA
Structure: optimized geometry Values from VASP.

## Properties
Relative energy among the computed polymorphs in meV/atom: 102
Raw formation energy in eV per atom: -0.139
Uncorrected energy in eV per atom: -3.48
Theoretical density in Mg/m³: 7.35
DOS at the Fermi energy in states/eV/atom: 0.28

Cell and atoms, written as Quantum ESPRESSO input:
```
&SYSTEM
  ibrav = 0, nat = 4, ntyp = 3
/
ATOMIC_SPECIES
Au 196.97 Au.upf
Cl 35.45 Cl.upf
Sb 121.76 Sb.upf
CELL_PARAMETERS angstrom
4.5310 0.0000 0.0000
0.0000 4.7101 0.1609
0.0000 0.9512 5.0703
ATOMIC_POSITIONS angstrom
Au 2.2655 1.4153 1.3078
Cl 2.2655 4.2460 3.9235
Sb 0.0000 0.2565 0.2756
Sb 0.0000 2.5741 2.3401
```

***

[6]
Compound: SbAu2Cl8
Source: Alexandria
Functional: PBE-GGA
Structure: optimized geometry Values from VASP.

## Properties
Raw formation energy in eV per atom: -0.342
Uncorrected energy in eV per atom: -2.66
Theoretical density in Mg/m³: 3.55
DOS at the Fermi energy in states/eV/atom: 0.56

Cell and atoms, written as Quantum ESPRESSO input:
```
&SYSTEM
  ibrav = 0, nat = 11, ntyp = 3
/
ATOMIC_SPECIES
Sb 121.76 Sb.upf
Au 196.97 Au.upf
Cl 35.45 Cl.upf
CELL_PARAMETERS angstrom
-5.1459 -2.1139 -4.0146
-2.8892 -3.3420 6.5625
-4.6293 4.2777 4.7806
ATOMIC_POSITIONS angstrom
Sb 0.0000 0.0000 0.0000
Au -5.3322 -1.3071 -0.3825
Au -7.3322 0.1288 7.7110
Cl -4.3301 2.2598 3.3795
Cl -3.3157 -2.1823 4.4183
Cl -8.3342 -3.4381 3.9490
Cl -6.9275 -0.2893 5.5277
Cl -9.3487 1.0041 2.9102
Cl -2.3287 -0.4836 0.2060
Cl -10.3356 -0.6947 7.1225
Cl -5.7369 -0.8890 1.8008
```